No. 1
Density functional theory data (PBE) for a geometry-optimized TlReF2 structure.

Results
Formation energy without anion corrections (eV per formula unit): -3.490
Size of the total moment (μB per formula unit): 0.1
Fermi-level density of states (states/eV/cell): 3.6
Energy above the most stable polymorph in this dataset (eV/atom): 0.000

Geometry as CIF:
```
data_TlReF2
_cell_length_a 8.581
_cell_length_b 8.581
_cell_length_c 8.581
_cell_angle_alpha 19.68
_cell_angle_beta 19.68
_cell_angle_gamma 19.68
_space_group_name_H-M_alt 'P 1'
_space_group_IT_number 1
_space_group_name_Hall 'P 1'
loop_
_atom_site_label
_atom_site_type_symbol
_atom_site_fract_x
_atom_site_fract_y
_atom_site_fract_z
Re1 Re 0.000 0.000 0.000
F1 F 0.078 0.078 0.078
F2 F 0.922 0.922 0.922
Tl1 Tl 0.500 0.500 0.500
```

=====

No. 2
Density functional theory data (PBE) for a geometry-optimized AgPbAu2 structure.

Results
Size of the total moment (μB per formula unit): 0.0
Fermi-level density of states (states/eV/cell): 1.2
ΔH_f (0 K) (eV/atom): -0.015

Geometry as CIF:
```
data_AgPbAu2
_cell_length_a 3.628
_cell_length_b 3.628
_cell_length_c 6.373
_cell_angle_alpha 90.00
_cell_angle_beta 90.00
_cell_angle_gamma 90.00
_space_group_name_H-M_alt 'P 1'
_space_group_IT_number 1
_space_group_name_Hall 'P 1'
loop_
_atom_site_label
_atom_site_type_symbol
_atom_site_fract_x
_atom_site_fract_y
_atom_site_fract_z
Au1 Au 0.000 0.000 0.974
Au2 Au 0.000 0.000 0.526
Pb1 Pb 0.500 0.500 0.250
Ag1 Ag 0.500 0.500 0.750
```

=====

No. 3
Density functional theory data (PBE) for a geometry-optimized Hg2BiS3 structure.

Results
Formation energy without anion corrections (eV per formula unit): -0.301
Size of the total moment (μB per formula unit): 0.0
Fermi-level density of states (states/eV/cell): 5.3

Geometry as CIF:
```
data_Hg2BiS3
_cell_length_a 3.955
_cell_length_b 7.048
_cell_length_c 11.723
_cell_angle_alpha 66.42
_cell_angle_beta 90.00
_cell_angle_gamma 90.00
_space_group_name_H-M_alt 'P 1'
_space_group_IT_number 1
_space_group_name_Hall 'P 1'
loop_
_atom_site_label
_atom_site_type_symbol
_atom_site_fract_x
_atom_site_fract_y
_atom_site_fract_z
S1 S 0.250 0.117 0.347
S2 S 0.250 0.376 0.674
S3 S 0.750 0.771 0.963
S4 S 0.750 0.883 0.653
S5 S 0.750 0.624 0.326
S6 S 0.250 0.229 0.037
Hg1 Hg 0.250 0.801 0.157
Hg2 Hg 0.250 0.265 0.502
Hg3 Hg 0.750 0.199 0.843
Hg4 Hg 0.750 0.735 0.498
Bi1 Bi 0.250 0.664 0.825
Bi2 Bi 0.750 0.336 0.175
```

=====

No. 4
Density functional theory data (PBE) for a geometry-optimized Ac2MgIn6Pd structure.

Results
Size of the total moment (μB per formula unit): 0.0
Fermi-level density of states (states/eV/cell): 4.1
ΔH_f (0 K) (eV/atom): -0.252

Geometry as CIF:
```
data_Ac2MgIn6Pd
_cell_length_a 7.928
_cell_length_b 7.035
_cell_length_c 7.010
_cell_angle_alpha 59.89
_cell_angle_beta 64.48
_cell_angle_gamma 89.97
_space_group_name_H-M_alt 'P 1'
_space_group_IT_number 1
_space_group_name_Hall 'P 1'
loop_
_atom_site_label
_atom_site_type_symbol
_atom_site_fract_x
_atom_site_fract_y
_atom_site_fract_z
In1 In 0.820 0.753 0.930
In2 In 0.821 0.318 0.927
In3 In 0.180 0.247 0.070
In4 In 0.179 0.682 0.073
In5 In 0.189 0.246 0.505
In6 In 0.811 0.754 0.495
Ac1 Ac 0.637 0.213 0.575
Ac2 Ac 0.363 0.787 0.425
Mg1 Mg 0.500 0.500 0.000
Pd1 Pd 0.000 0.000 0.000
```

=====

No. 5
Density functional theory data (PBE) for a geometry-optimized Mg3Pa2Rh4 structure.

Results
Size of the total moment (μB per formula unit): 0.0
Fermi-level density of states (states/eV/cell): 6.4
ΔH_f (0 K) (eV/atom): -0.540

Geometry as CIF:
```
data_Mg3Pa2Rh4
_cell_length_a 4.286
_cell_length_b 4.826
_cell_length_c 9.068
_cell_angle_alpha 85.64
_cell_angle_beta 90.11
_cell_angle_gamma 63.67
_space_group_name_H-M_alt 'P 1'
_space_group_IT_number 1
_space_group_name_Hall 'P 1'
loop_
_atom_site_label
_atom_site_type_symbol
_atom_site_fract_x
_atom_site_fract_y
_atom_site_fract_z
Rh1 Rh 0.982 0.038 0.664
Rh2 Rh 0.018 0.962 0.336
Rh3 Rh 0.331 0.339 0.107
Rh4 Rh 0.669 0.661 0.893
Pa1 Pa 0.330 0.339 0.785
Pa2 Pa 0.670 0.661 0.215
Mg1 Mg 0.651 0.698 0.569
Mg2 Mg 0.349 0.302 0.431
Mg3 Mg 0.000 0.000 0.000
```

=====

No. 6
Density functional theory data (PBE) for a geometry-optimized AlZnSe structure.

Results
Formation energy without anion corrections (eV per formula unit): 0.598
Size of the total moment (μB per formula unit): 0.0
Fermi-level density of states (states/eV/cell): 0.6
Energy above the most stable polymorph in this dataset (eV/atom): 0.452

Geometry as CIF:
```
data_AlZnSe
_cell_length_a 7.941
_cell_length_b 7.741
_cell_length_c 2.930
_cell_angle_alpha 83.10
_cell_angle_beta 75.41
_cell_angle_gamma 21.48
_space_group_name_H-M_alt 'P 1'
_space_group_IT_number 1
_space_group_name_Hall 'P 1'
loop_
_atom_site_label
_atom_site_type_symbol
_atom_site_fract_x
_atom_site_fract_y
_atom_site_fract_z
Al1 Al 0.993 0.993 0.007
Se1 Se 0.357 0.357 0.643
Zn1 Zn 0.650 0.650 0.350
```